(1)
{"formula": "K12Rb5Tl2", "functional": "GGA-PBE", "state": "optimized geometry", "cell": [[12.851, -4.861, 0.000], [12.851, 4.861, 0.000], [-2.617, 0.000, 10.893]], "species": ["K", "K", "K", "K", "K", "K", "K", "K", "K", "K", "K", "K", "Rb", "Rb", "Rb", "Rb", "Rb", "Tl", "Tl"], "fractional_positions": [[0.012, 0.012, 0.310], [0.094, 0.629, 0.316], [0.120, 0.619, 0.807], [0.371, 0.906, 0.684], [0.381, 0.880, 0.193], [0.458, 0.458, 0.119], [0.542, 0.542, 0.881], [0.619, 0.120, 0.807], [0.629, 0.094, 0.316], [0.880, 0.381, 0.193], [0.906, 0.371, 0.684], [0.988, 0.988, 0.690], [0.251, 0.251, 0.009], [0.254, 0.254, 0.496], [0.500, 0.500, 0.500], [0.746, 0.746, 0.504], [0.749, 0.749, 0.991], [0.156, 0.844, 0.000], [0.844, 0.156, 0.000]], "magnetic_moment_mub_per_fu": 0.0, "formation_enthalpy_0k_ev_per_fu": 0.5}



(2)
{"formula": "Sc2AsCl", "functional": "GGA-PBE", "state": "optimized geometry", "cell": [[3.656, 0.000, 0.000], [0.000, 3.680, 0.000], [0.000, 0.000, 13.040]], "species": ["Sc", "Sc", "Sc", "Sc", "As", "As", "Cl", "Cl"], "fractional_positions": [[0.000, 0.000, 0.000], [0.000, 0.500, 0.500], [0.500, 0.000, 0.207], [0.500, 0.500, 0.707], [0.500, 0.000, 0.555], [0.500, 0.500, 0.055], [0.000, 0.000, 0.798], [0.000, 0.500, 0.298]], "magnetic_moment_mub_per_fu": 0.4, "raw_formation_energy_mev_per_atom": -1192}



(3)
{"formula": "NaNpSb", "functional": "GGA-PBE", "state": "optimized geometry", "cell": [[2.414, 1.394, 8.601], [-2.414, 1.394, 8.601], [0.000, -2.787, 8.601]], "species": ["Na", "Na", "Np", "Np", "Sb", "Sb"], "fractional_positions": [[0.203, 0.203, 0.203], [0.797, 0.797, 0.797], [0.342, 0.342, 0.342], [0.658, 0.658, 0.658], [0.072, 0.072, 0.072], [0.928, 0.928, 0.928]], "magnetic_moment_mub_per_fu": 5.0, "raw_formation_energy_mev_per_atom": -150}



(4)
{"formula": "Tl3Te5S12", "functional": "GGA-PBE", "state": "optimized geometry", "cell": [[-8.407, 8.407, 8.407], [8.407, -8.407, 8.407], [8.407, 8.407, -8.407]], "species": ["Tl", "Tl", "Tl", "Tl", "Tl", "Tl", "Tl", "Tl", "Tl", "Tl", "Tl", "Tl", "Te", "Te", "Te", "Te", "Te", "Te", "Te", "Te", "Te", "Te", "Te", "Te", "Te", "Te", "Te", "Te", "Te", "Te", "Te", "Te", "S", "S", "S", "S", "S", "S", "S", "S", "S", "S", "S", "S", "S", "S", "S", "S", "S", "S", "S", "S", "S", "S", "S", "S", "S", "S", "S", "S", "S", "S", "S", "S", "S", "S", "S", "S", "S", "S", "S", "S", "S", "S", "S", "S", "S", "S", "S", "S"], "fractional_positions": [[0.125, 0.250, 0.375], [0.125, 0.375, 0.750], [0.250, 0.375, 0.125], [0.250, 0.875, 0.625], [0.375, 0.125, 0.250], [0.375, 0.750, 0.125], [0.625, 0.250, 0.875], [0.625, 0.875, 0.750], [0.750, 0.125, 0.375], [0.750, 0.625, 0.875], [0.875, 0.625, 0.250], [0.875, 0.750, 0.625], [0.000, 0.000, 0.000], [0.000, 0.000, 0.500], [0.000, 0.500, 0.000], [0.000, 0.500, 0.500], [0.125, 0.750, 0.875], [0.125, 0.875, 0.250], [0.250, 0.125, 0.875], [0.250, 0.625, 0.375], [0.375, 0.250, 0.625], [0.375, 0.625, 0.750], [0.500, 0.000, 0.000], [0.500, 0.000, 0.500], [0.500, 0.500, 0.000], [0.500, 0.500, 0.500], [0.625, 0.375, 0.250], [0.625, 0.750, 0.375], [0.750, 0.375, 0.625], [0.750, 0.875, 0.125], [0.875, 0.125, 0.750], [0.875, 0.250, 0.125], [0.022, 0.199, 0.113], [0.022, 0.322, 0.909], [0.087, 0.699, 0.678], [0.087, 0.887, 0.409], [0.091, 0.613, 0.413], [0.091, 0.978, 0.678], [0.113, 0.022, 0.199], [0.113, 0.591, 0.913], [0.178, 0.199, 0.587], [0.178, 0.478, 0.591], [0.199, 0.113, 0.022], [0.199, 0.587, 0.178], [0.301, 0.322, 0.913], [0.301, 0.478, 0.387], [0.322, 0.909, 0.022], [0.322, 0.913, 0.301], [0.387, 0.301, 0.478], [0.387, 0.587, 0.909], [0.409, 0.087, 0.887], [0.409, 0.822, 0.522], [0.413, 0.091, 0.613], [0.413, 0.822, 0.801], [0.478, 0.387, 0.301], [0.478, 0.591, 0.178], [0.522, 0.409, 0.822], [0.522, 0.613, 0.699], [0.587, 0.178, 0.199], [0.587, 0.909, 0.387], [0.591, 0.178, 0.478], [0.591, 0.913, 0.113], [0.613, 0.413, 0.091], [0.613, 0.699, 0.522], [0.678, 0.087, 0.699], [0.678, 0.091, 0.978], [0.699, 0.522, 0.613], [0.699, 0.678, 0.087], [0.801, 0.413, 0.822], [0.801, 0.887, 0.978], [0.822, 0.522, 0.409], [0.822, 0.801, 0.413], [0.887, 0.409, 0.087], [0.887, 0.978, 0.801], [0.909, 0.022, 0.322], [0.909, 0.387, 0.587], [0.913, 0.113, 0.591], [0.913, 0.301, 0.322], [0.978, 0.678, 0.091], [0.978, 0.801, 0.887]], "magnetic_moment_mub_per_fu": 0.0, "raw_formation_energy_mev_per_atom": 128}